Record 1
Here is LiCa2PtN after structural relaxation from Alexandria via LeMat-Bulk. Energies are from PBE-GGA.

Computed properties:
**Space-group type**: P4/mmm, No. 123
**Uncorrected energy**: -4.516 eV per atom
**Formation energy (no corrections)**: -0.459 eV per atom
**Total magnetization**: 0.0000 μB per atom

Cell and atoms, written as POSCAR:
```
LiCa2PtN
1.0
4.9988 0.0000 0.0000
0.0000 4.9988 0.0000
0.0000 0.0000 3.9768
N Ca Pt Li
1 2 1 1
Cartesian
0.0000 0.0000 0.0000
0.0000 2.4994 0.0000
2.4994 0.0000 0.0000
0.0000 0.0000 1.9884
2.4994 2.4994 1.9884
```

=====

Record 2
Here is Nd2ScPd after structural relaxation from Alexandria via LeMat-Bulk. Energies are from PBE-GGA.

Computed properties:
**Space-group type**: R-3m, No. 166
**Uncorrected energy**: -5.224 eV per atom
**Total magnetization**: 0.0111 μB per atom

Cell and atoms, written as POSCAR:
```
Nd2ScPd
1.0
-2.7354 -1.1688 -1.7777
-0.7963 -3.3720 0.0649
-7.4560 0.1342 8.0071
Sc Pd Nd
1 1 2
Cartesian
0.0000 0.0000 0.0000
-5.4939 -2.2033 3.1471
-5.3853 -4.0544 0.8196
-5.6024 -0.3522 5.4747
```

=====

Computed energy relative to the lowest polymorph listed for this composition, in the same sequence as the records: 0.2405; 0.3524 eV per atom.